Be2TeP PBE-GGA optimized geometry; energy relative to the elements, uncorrected = 0.77 eV per atom; E_tot = -3.23 eV/atom; offset from the most stable computed form = 899 meV/atom
1.0
0.0000 3.1237 3.1237
3.1237 0.0000 3.1237
3.1237 3.1237 0.0000
Be Te P
2 1 1
direct
0.2500 0.2500 0.2500
0.7500 0.7500 0.7500
0.0000 0.0000 0.0000
0.5000 0.5000 0.5000